A plane-wave DFT calculation with PBE was carried out for a relaxed structure of CaPmPb2.

Geometry as CIF:
```
data_CaPmPb2
_cell_length_a 4.4406
_cell_length_b 6.3595
_cell_length_c 8.9321
_cell_angle_alpha 90.00
_cell_angle_beta 90.00
_cell_angle_gamma 90.00
_symmetry_space_group_name_H-M 'P m c 21'
_symmetry_Int_Tables_number 26
loop_
_symmetry_equiv_pos_as_xyz
'x,y,z'
'-x,-y,z+1/2'
'-x,y,z'
'x,-y,z+1/2'
loop_
_atom_site_label
_atom_site_fract_x
_atom_site_fract_y
_atom_site_fract_z
_atom_site_occupancy
Ca1 0.0000 0.1172 0.0000 1
Pm1 0.5000 0.3689 0.3766 1
Pb1 0.0000 0.4272 0.6482 1
Pb2 0.5000 0.0976 0.7273 1
```

Formation enthalpy at 0 K, eV per atom: -0.485
Size of the total moment, μB per formula unit: 0.00
Calculated total energy, eV per atom: -4.0275